{"formula": "Pr4NdY", "functional": "GGA-PBE", "state": "relaxed", "spacegroup": "F-43m, No. 216", "e_above_lowest_polymorph_kcal_per_mol_atoms": 5.26, "e_form_ev_per_atom": 0.2419, "magnetic_moment_mub_per_fu": 0.00, "cell": [[0.000, 4.785, 4.785], [4.785, 0.000, 4.785], [4.785, 4.785, 0.000]], "species": ["Pr", "Pr", "Pr", "Pr", "Nd", "Y"], "frac_coords": [[0.124, 0.124, 0.124], [0.124, 0.124, 0.627], [0.124, 0.627, 0.124], [0.627, 0.124, 0.124], [0.500, 0.500, 0.500], [0.750, 0.750, 0.750]]}